The following is a DFT calculation (PBE) of crystalline Sr2AlPt at its relaxed geometry.

## Properties
* space group: P2/m, No. 10
* DOS at the Fermi energy: 2.35 states/eV/f.u.
* crystal system: monoclinic
* M_tot: 0.00 μB/atom
* formation enthalpy at 0 K: -0.396 eV/atom

Geometry as POSCAR:
```
Sr2AlPt
1.0
3.8587 0.0000 0.0000
0.0000 3.7543 0.0091
0.0000 3.7501 7.6417
Sr Al Pt
2 1 1
direct
0.0000 0.0215 0.9784
0.0000 0.4785 0.5216
0.5000 0.2500 0.2500
0.5000 0.7500 0.7500
```

=====

The following is a DFT calculation (PBE) of crystalline Sr2Al6Pt at its relaxed geometry.

## Properties
* space group: P-3m1, No. 164
* DOS at the Fermi energy: 5.62 states/eV/f.u.
* crystal system: trigonal
* M_tot: 0.00 μB/atom
* formation enthalpy at 0 K: -0.408 eV/atom

Geometry as POSCAR:
```
Sr2Al6Pt
1.0
-3.6668 4.5201 -1.9041
-4.7620 -2.9739 2.1089
-1.8354 0.8879 5.6401
Sr Al Pt
2 6 1
direct
0.8611 0.6667 0.6667
0.1389 0.3333 0.3333
0.3294 0.3340 0.8328
0.3296 0.8331 0.8331
0.3294 0.8328 0.3340
0.6706 0.6660 0.1672
0.6704 0.1669 0.1669
0.6706 0.1672 0.6660
0.0000 0.0000 0.0000
```

=====

The following is a DFT calculation (PBE) of crystalline SrAl2Pt at its relaxed geometry.

## Properties
* space group: I4_1/amd, No. 141
* DOS at the Fermi energy: 2.23 states/eV/f.u.
* crystal system: tetragonal
* M_tot: 0.00 μB/atom
* formation enthalpy at 0 K: -0.465 eV/atom

Geometry as POSCAR:
```
SrAl2Pt
1.0
-0.3146 -2.2006 -4.7229
0.5662 -4.7179 2.1606
-7.9651 -4.0562 -0.4641
Sr Al Pt
2 4 2
direct
0.5000 0.5000 0.0000
0.2500 0.7500 0.5000
0.8745 0.1250 0.2500
0.8755 0.6250 0.2500
0.3750 0.1255 0.7500
0.8750 0.1245 0.7500
0.0000 0.0000 0.0000
0.7500 0.2500 0.5000
```

=====

The following is a DFT calculation (PBE) of crystalline Sr3AlPt at its relaxed geometry.

## Properties
* ΔE to the lowest computed polymorph: 0.00 eV/f.u.
* space group: Pm-3m, No. 221
* DOS at the Fermi energy: 5.58 states/eV/f.u.
* crystal system: cubic
* M_tot: 0.00 μB/atom
* formation enthalpy at 0 K: -0.251 eV/atom

Geometry as POSCAR:
```
Sr3AlPt
1.0
-4.3092 1.8041 3.4753
-2.4780 -5.2577 -0.3432
3.0319 -1.7331 4.6590
Sr Al Pt
3 1 1
direct
0.0000 0.5000 0.0000
0.0000 0.0000 0.5000
0.5000 0.0000 0.0000
0.5000 0.5000 0.5000
0.0000 0.0000 0.0000
```

=====

The following is a DFT calculation (PBE) of crystalline Sr2Al7Pt12 at its relaxed geometry.

## Properties
* space group: P-6, No. 174
* DOS at the Fermi energy: 9.69 states/eV/f.u.
* crystal system: hexagonal
* M_tot: 0.00 μB/atom
* formation enthalpy at 0 K: -0.930 eV/atom

Geometry as POSCAR:
```
Sr2Al7Pt12
1.0
-1.1403 -3.9527 -0.4128
8.6821 -2.0198 -4.6430
-0.6716 -0.8498 9.9921
Sr Al Pt
2 7 12
direct
0.5000 0.0000 0.0000
0.0000 0.6667 0.3333
0.0000 0.3333 0.6667
0.0000 0.0823 0.7885
0.0000 0.7061 0.9177
0.0000 0.2115 0.2939
0.5000 0.6464 0.5822
0.5000 0.9358 0.3536
0.5000 0.4178 0.0642
0.5000 0.9099 0.6056
0.5000 0.6957 0.0901
0.5000 0.3944 0.3043
0.5000 0.2427 0.7767
0.5000 0.5340 0.7573
0.5000 0.2233 0.4660
0.0000 0.0519 0.5249
0.0000 0.4730 0.9481
0.0000 0.4751 0.5270
0.0000 0.8036 0.7263
0.0000 0.9226 0.1964
0.0000 0.2737 0.0774
```

=====

The following is a DFT calculation (PBE) of crystalline SrAl3Pt at its relaxed geometry.

## Properties
* space group: Pnma, No. 62
* DOS at the Fermi energy: 1.50 states/eV/f.u.
* crystal system: orthorhombic
* M_tot: 0.00 μB/atom
* formation enthalpy at 0 K: -0.673 eV/atom

Geometry as POSCAR:
```
SrAl3Pt
1.0
4.2911 0.0000 0.0000
0.0000 8.4556 0.0000
0.0000 0.0000 11.4121
Sr Al Pt
4 12 4
direct
0.7500 0.8181 0.0108
0.2500 0.6819 0.5108
0.7500 0.3181 0.4892
0.2500 0.1819 0.9892
0.2500 0.5554 0.0841
0.7500 0.4446 0.9159
0.2500 0.0554 0.4159
0.7500 0.9446 0.5841
0.2500 0.3827 0.7217
0.7500 0.1173 0.2217
0.2500 0.8827 0.7783
0.7500 0.6459 0.7250
0.2500 0.3541 0.2750
0.7500 0.1459 0.7750
0.7500 0.6173 0.2783
0.2500 0.8541 0.2250
0.2500 0.1072 0.6415
0.2500 0.6072 0.8585
0.7500 0.3928 0.1415
0.7500 0.8928 0.3585
```

=====

The following is a DFT calculation (PBE) of crystalline SrAl4Pt at its relaxed geometry.

## Properties
* space group: P-1, No. 2
* DOS at the Fermi energy: 1.70 states/eV/f.u.
* crystal system: triclinic
* M_tot: 0.00 μB/atom
* formation enthalpy at 0 K: -0.459 eV/atom

Geometry as POSCAR:
```
SrAl4Pt
1.0
-1.4233 -3.9215 -5.6237
-5.0359 -3.2186 2.0457
-3.1915 6.1337 1.0534
Sr Al Pt
2 8 2
direct
0.7817 0.7643 0.9497
0.2183 0.2357 0.0503
0.4753 0.3350 0.7497
0.7607 0.2695 0.1841
0.5247 0.6650 0.2503
0.2393 0.7305 0.8159
0.8354 0.9056 0.4565
0.2901 0.6771 0.4478
0.1646 0.0944 0.5435
0.7099 0.3229 0.5522
0.5000 0.0000 0.5000
0.0000 0.5000 0.5000
```

=====

The following is a DFT calculation (PBE) of crystalline SrAl5Pt3 at its relaxed geometry.

## Properties
* space group: Cmcm, No. 63
* DOS at the Fermi energy: 3.47 states/eV/f.u.
* crystal system: orthorhombic
* M_tot: 0.00 μB/atom
* formation enthalpy at 0 K: -0.914 eV/atom

Geometry as POSCAR:
```
SrAl5Pt3
1.0
-1.2024 2.4084 3.0844
-5.6047 -2.2213 -3.1673
-0.3771 -10.2422 7.8504
Sr Al Pt
2 10 6
direct
0.8399 0.6798 0.7500
0.1601 0.3202 0.2500
0.7993 0.5987 0.4360
0.2007 0.4013 0.9360
0.0000 0.0000 0.5000
0.0000 0.0000 0.0000
0.4419 0.8838 0.1490
0.5581 0.1162 0.8510
0.5581 0.1162 0.6490
0.7993 0.5987 0.0640
0.2007 0.4013 0.5640
0.4419 0.8838 0.3510
0.3892 0.7785 0.9605
0.8772 0.7544 0.2500
0.3892 0.7785 0.5395
0.6108 0.2215 0.4605
0.1228 0.2456 0.7500
0.6108 0.2215 0.0395
```

=====

The following is a DFT calculation (PBE) of crystalline Sr3Al3Pt2 at its relaxed geometry.

## Properties
* space group: Pnma, No. 62
* DOS at the Fermi energy: 4.74 states/eV/f.u.
* crystal system: orthorhombic
* M_tot: 0.00 μB/atom
* formation enthalpy at 0 K: -0.674 eV/atom

Geometry as POSCAR:
```
Sr3Al3Pt2
1.0
6.2714 0.0000 0.0000
0.0000 8.3103 0.0000
0.0000 0.0000 15.5137
Sr Al Pt
12 12 8
direct
0.1134 0.4644 0.3912
0.6134 0.0356 0.6088
0.8866 0.5356 0.8912
0.3866 0.9644 0.1088
0.8866 0.5356 0.6088
0.3866 0.9644 0.3912
0.1134 0.4644 0.1088
0.6134 0.0356 0.8912
0.6091 0.3118 0.2500
0.1091 0.1882 0.7500
0.3909 0.6882 0.7500
0.8909 0.8118 0.2500
0.0729 0.1600 0.2500
0.5729 0.3400 0.7500
0.9271 0.8400 0.7500
0.4271 0.6600 0.2500
0.6105 0.3399 0.4626
0.1105 0.1601 0.5374
0.3895 0.6601 0.9626
0.8895 0.8399 0.0374
0.3895 0.6601 0.5374
0.8895 0.8399 0.4626
0.6105 0.3399 0.0374
0.1105 0.1601 0.9626
0.8776 0.1291 0.4032
0.3776 0.3709 0.5968
0.1224 0.8709 0.9032
0.6224 0.6291 0.0968
0.1224 0.8709 0.5968
0.6224 0.6291 0.4032
0.8776 0.1291 0.0968
0.3776 0.3709 0.9032
```

=====

The following is a DFT calculation (PBE) of crystalline SrAl2Pt2 at its relaxed geometry.

## Properties
* space group: P4/mbm, No. 127
* DOS at the Fermi energy: 2.08 states/eV/f.u.
* crystal system: tetragonal
* M_tot: 0.00 μB/atom
* formation enthalpy at 0 K: -0.769 eV/atom

Geometry as POSCAR:
```
SrAl2Pt2
1.0
7.9347 0.0000 0.0000
0.0000 7.9347 0.0000
0.0000 0.0000 2.8424
Sr Al Pt
2 4 4
direct
0.0000 0.0000 0.0000
0.5000 0.5000 0.0000
0.3774 0.8774 0.0000
0.8774 0.6226 0.0000
0.6226 0.1226 0.0000
0.1226 0.3774 0.0000
0.1703 0.6703 0.5000
0.6703 0.8297 0.5000
0.8297 0.3297 0.5000
0.3297 0.1703 0.5000
```

=====

The following is a DFT calculation (PBE) of crystalline SrAl4Pt2 at its relaxed geometry.

## Properties
* space group: Pnma, No. 62
* DOS at the Fermi energy: 2.77 states/eV/f.u.
* crystal system: orthorhombic
* M_tot: 0.00 μB/atom
* formation enthalpy at 0 K: -0.803 eV/atom

Geometry as POSCAR:
```
SrAl4Pt2
1.0
-2.4937 -0.1948 3.5994
5.3206 -2.0334 3.5761
3.9412 16.7047 3.6346
Sr Al Pt
4 16 8
direct
0.7500 0.9851 0.6384
0.2500 0.0149 0.3616
0.2500 0.4851 0.8616
0.7500 0.5149 0.1384
0.2500 0.2762 0.6934
0.7500 0.7238 0.3066
0.7500 0.7762 0.8066
0.2500 0.2238 0.1934
0.2500 0.6738 0.6860
0.7500 0.3262 0.3140
0.7500 0.1738 0.8140
0.2500 0.8262 0.1860
0.2500 0.1709 0.5347
0.7500 0.8291 0.4653
0.7500 0.6709 0.9653
0.2500 0.3291 0.0347
0.2500 0.4917 0.4277
0.7500 0.5083 0.5723
0.7500 0.9917 0.0723
0.2500 0.0083 0.9277
0.2500 0.7447 0.5365
0.7500 0.2553 0.4635
0.7500 0.2447 0.9635
0.2500 0.7553 0.0365
0.2500 0.9737 0.7834
0.7500 0.0263 0.2166
0.7500 0.4737 0.7166
0.2500 0.5263 0.2834
```

=====

The following is a DFT calculation (PBE) of crystalline SrAl2Pt at its relaxed geometry.

## Properties
* space group: Fm-3m, No. 225
* DOS at the Fermi energy: 0.88 states/eV/f.u.
* crystal system: cubic
* M_tot: 0.00 μB/atom
* formation enthalpy at 0 K: -0.341 eV/atom

Geometry as POSCAR:
```
SrAl2Pt
1.0
0.0000 3.3721 3.3721
3.3721 0.0000 3.3721
3.3721 3.3721 0.0000
Sr Al Pt
1 2 1
direct
0.0000 0.0000 0.0000
0.2500 0.2500 0.2500
0.7500 0.7500 0.7500
0.5000 0.5000 0.5000
```

=====

The following is a DFT calculation (PBE) of crystalline Sr2AlTePt at its relaxed geometry.

## Properties
* space group: P4/mmm, No. 123
* DOS at the Fermi energy: 3.07 states/eV/f.u.
* crystal system: tetragonal
* formation energy without anion corrections: -85.33 kJ/mol of atoms
* M_tot: 0.00 μB/atom

Geometry as POSCAR:
```
Sr2AlTePt
1.0
5.8725 0.0000 0.0000
0.0000 5.8725 0.0000
0.0000 0.0000 4.7538
Sr Te Al Pt
2 1 1 1
direct
0.0000 0.5000 0.0000
0.5000 0.0000 0.0000
0.5000 0.5000 0.5000
0.0000 0.0000 0.5000
0.0000 0.0000 0.0000
```

=====

The following is a DFT calculation (PBE) of crystalline Sr2AlTlPt at its relaxed geometry.

## Properties
* space group: P4/mmm, No. 123
* DOS at the Fermi energy: 4.74 states/eV/f.u.
* crystal system: tetragonal
* M_tot: 0.00 μB/atom
* formation enthalpy at 0 K: -0.490 eV/atom

Geometry as POSCAR:
```
Sr2AlTlPt
1.0
5.9320 0.0000 0.0000
0.0000 5.9320 0.0000
0.0000 0.0000 4.7793
Sr Tl Al Pt
2 1 1 1
direct
0.0000 0.5000 0.0000
0.5000 0.0000 0.0000
0.5000 0.5000 0.5000
0.0000 0.0000 0.5000
0.0000 0.0000 0.0000
```

=====

The following is a DFT calculation (PBE) of crystalline Sr2Al4Zn3Pt at its relaxed geometry.

## Properties
* space group: P-4m2, No. 115
* DOS at the Fermi energy: 3.81 states/eV/f.u.
* crystal system: tetragonal
* M_tot: 0.00 μB/atom
* formation enthalpy at 0 K: -0.423 eV/atom

Geometry as POSCAR:
```
Sr2Al4Zn3Pt
1.0
-3.3332 1.3492 2.4376
-0.3738 -3.9831 1.6933
6.9879 2.7575 8.0289
Sr Al Zn Pt
2 4 3 1
direct
0.5000 0.0000 0.2547
0.0000 0.5000 0.7453
0.5000 0.5000 0.0000
0.0000 0.0000 0.0000
0.5000 0.0000 0.6210
0.0000 0.5000 0.3790
0.0000 0.0000 0.5000
0.5000 0.0000 0.8604
0.0000 0.5000 0.1396
0.5000 0.5000 0.5000
```

=====

The following is a DFT calculation (PBE) of crystalline Sr2AlZn2Pt5 at its relaxed geometry.

## Properties
* space group: P4/mbm, No. 127
* DOS at the Fermi energy: 3.09 states/eV/f.u.
* crystal system: tetragonal
* M_tot: 0.00 μB/atom
* formation enthalpy at 0 K: -0.686 eV/atom

Geometry as POSCAR:
```
Sr2AlZn2Pt5
1.0
3.5279 0.0000 0.0000
0.0000 10.2393 0.0000
0.0000 0.0000 10.2393
Sr Al Zn Pt
4 2 4 10
direct
0.0000 0.6753 0.1753
0.0000 0.3247 0.8247
0.0000 0.1753 0.3247
0.0000 0.8247 0.6753
0.0000 0.0000 0.0000
0.0000 0.5000 0.5000
0.0000 0.1265 0.6265
0.0000 0.8735 0.3735
0.0000 0.6265 0.8735
0.0000 0.3735 0.1265
0.5000 0.1947 0.0577
0.5000 0.8053 0.9423
0.5000 0.0577 0.8053
0.5000 0.6947 0.4423
0.5000 0.9423 0.1947
0.5000 0.3053 0.5577
0.5000 0.5577 0.6947
0.5000 0.4423 0.3053
0.5000 0.5000 0.0000
0.5000 0.0000 0.5000
```

=====

The following is a DFT calculation (PBE) of crystalline Sr2Al4ZnPt3 at its relaxed geometry.

## Properties
* space group: P-4m2, No. 115
* DOS at the Fermi energy: 5.14 states/eV/f.u.
* crystal system: tetragonal
* M_tot: 0.00 μB/atom
* formation enthalpy at 0 K: -0.826 eV/atom

Geometry as POSCAR:
```
Sr2Al4ZnPt3
1.0
-0.1007 -2.9025 -3.2795
1.8184 -3.0120 2.6099
-9.5960 -3.1342 3.0686
Sr Al Zn Pt
2 4 1 3
direct
0.5000 0.0000 0.2518
0.0000 0.5000 0.7482
0.5000 0.5000 0.0000
0.0000 0.0000 0.0000
0.5000 0.0000 0.6289
0.0000 0.5000 0.3711
0.5000 0.5000 0.5000
0.0000 0.0000 0.5000
0.5000 0.0000 0.8730
0.0000 0.5000 0.1270
```

=====

The following is a DFT calculation (PBE) of crystalline Sr2AlZnPt2 at its relaxed geometry.

## Properties
* space group: Ibam, No. 72
* DOS at the Fermi energy: 3.57 states/eV/f.u.
* crystal system: orthorhombic
* M_tot: 0.00 μB/atom
* formation enthalpy at 0 K: -0.798 eV/atom

Geometry as POSCAR:
```
Sr2AlZnPt2
1.0
6.1920 0.0000 0.0000
0.0000 6.2507 0.0000
-3.0960 -3.1253 7.3158
Sr Al Zn Pt
4 2 2 4
direct
0.4119 0.1703 0.3406
0.5881 0.8297 0.6594
0.0712 0.3297 0.6594
0.9288 0.6703 0.3406
0.5000 0.7500 0.0000
0.5000 0.2500 0.0000
0.0000 0.7500 0.0000
0.0000 0.2500 0.0000
0.8283 0.0946 0.1893
0.3610 0.5946 0.1893
0.6390 0.4054 0.8107
0.1717 0.9054 0.8107
```

=====

The following is a DFT calculation (PBE) of crystalline SrAl2ZnPt4 at its relaxed geometry.

## Properties
* space group: R-3m, No. 166
* DOS at the Fermi energy: 3.88 states/eV/f.u.
* crystal system: trigonal
* M_tot: 0.00 μB/atom
* formation enthalpy at 0 K: -0.827 eV/atom

Geometry as POSCAR:
```
SrAl2ZnPt4
1.0
-3.7041 2.1888 0.0226
-2.1298 0.6625 -3.6792
-6.5859 -6.9172 0.0511
Sr Al Zn Pt
1 2 1 4
direct
0.0000 0.0000 0.0000
0.7645 0.7645 0.7066
0.2355 0.2355 0.2934
0.5000 0.5000 0.5000
0.4093 0.4093 0.7721
0.8656 0.8656 0.4032
0.1344 0.1344 0.5968
0.5907 0.5907 0.2279
```

=====

The following is a DFT calculation (PBE) of crystalline SrAlZnPt2 at its relaxed geometry.

## Properties
* space group: I-4m2, No. 119
* DOS at the Fermi energy: 2.07 states/eV/f.u.
* crystal system: tetragonal
* M_tot: 0.00 μB/atom
* formation enthalpy at 0 K: -0.841 eV/atom

Geometry as POSCAR:
```
SrAlZnPt2
1.0
-3.5995 1.1219 -1.8955
0.1144 -3.5313 -2.3074
-1.2176 -1.5131 6.1141
Sr Al Zn Pt
1 1 1 2
direct
0.0000 0.0000 0.0000
0.2500 0.7500 0.5000
0.7500 0.2500 0.5000
0.6214 0.6214 0.2429
0.3786 0.3786 0.7571
```